This record from the Alexandria database describes crystalline CaFeBO4 at its relaxed geometry. The functional is PBE+U.

extended XYZ file:
```
14
Lattice="-4.418 1.884 2.196 2.168 -3.840 2.906 3.243 4.104 3.003" Properties=species:S:1:pos:R:3 pbc="T T T"
Ca 0.496 1.074 4.053
Ca -1.125 -0.978 2.551
Fe -2.651 2.079 3.050
Fe 3.643 0.069 5.056
B 2.053 -2.010 3.557
B -1.061 4.157 4.548
O 2.170 2.513 3.307
O 0.831 1.349 6.343
O 0.215 4.466 5.230
O -1.113 2.785 3.999
O 0.777 -2.319 2.876
O 2.106 -0.637 4.107
O -1.178 -0.366 4.799
O 0.161 0.798 1.763
```

As for the space group: Cmcm (63). As for the density of states at the Fermi level: 0.00 states/eV/atom. For the total energy, the calculation gives -98.703 eV/cell.